(1)
ScP4W (PBE, relaxed); final energy = -0.234 hartree per atom
1.0
-4.386 -1.852 1.583
-2.954 2.748 2.981
-4.302 1.877 -1.772
Sc P W
1 4 1
direct
0.750 0.750 0.750
0.878 0.374 0.374
0.374 0.374 0.878
0.374 0.878 0.374
0.374 0.374 0.374
0.000 0.000 0.000

(2)
Sm2MgGa9 (PBE, relaxed); final energy = -0.131 hartree per atom
1.0
-0.202 0.499 -4.288
0.971 -4.177 -0.532
-12.395 -2.913 0.245
Sm Mg Ga
2 1 9
direct
0.000 0.000 0.328
0.000 0.000 0.672
0.000 0.000 0.000
0.500 0.500 0.000
0.500 0.500 0.340
0.500 0.500 0.660
0.500 0.000 0.152
0.500 0.000 0.500
0.500 0.000 0.848
0.000 0.500 0.152
0.000 0.500 0.500
0.000 0.500 0.848

(3)
Rb4Tb3HfO8 (PBE, relaxed); final energy = -0.250 hartree per atom; raw formation energy = -250.6 kJ/mol of atoms
1.0
-5.153 -1.774 4.320
-1.899 -5.824 -4.657
6.561 0.173 2.300
Rb Tb Hf O
4 3 1 8
direct
0.500 0.000 0.000
0.500 0.000 0.500
0.000 0.000 0.000
0.000 0.000 0.500
0.500 0.500 0.000
0.500 0.500 0.500
0.000 0.500 0.500
0.000 0.500 0.000
0.211 0.670 0.959
0.211 0.670 0.422
0.276 0.329 0.552
0.748 0.670 0.959
0.252 0.330 0.041
0.724 0.671 0.448
0.789 0.330 0.578
0.789 0.330 0.041

(4)
ZrPRh3 (PBE, relaxed); final energy = -0.278 hartree per atom
1.0
-0.565 -4.248 -1.006
2.572 0.495 -3.537
3.527 -1.042 2.419
P Rh Zr
1 3 1
direct
0.000 0.000 0.000
0.000 0.500 0.000
0.000 0.000 0.500
0.500 0.000 0.000
0.500 0.500 0.500

(5)
MgZn3Ag2 (PBE, relaxed); final energy = -0.071 hartree per atom
1.0
-3.936 0.221 0.635
1.977 -5.693 1.679
3.374 4.564 6.769
Mg Zn Ag
2 6 4
direct
0.004 0.873 0.134
0.996 0.127 0.866
0.335 0.537 0.133
0.658 0.696 0.620
0.001 0.619 0.384
0.999 0.381 0.616
0.342 0.304 0.380
0.665 0.463 0.867
0.326 0.775 0.877
0.674 0.225 0.123
0.336 0.047 0.625
0.664 0.953 0.375

(6)
Li2SiHgS4 (PBE, relaxed); final energy = -0.151 hartree per atom; raw formation energy = -81.9 kJ/mol of atoms
1.0
5.531 0.230 0.000
-0.230 5.531 0.000
-2.651 -2.880 5.520
Li Si Hg S
2 1 1 4
direct
0.750 0.250 0.500
0.250 0.750 0.500
0.500 0.500 0.000
0.000 0.000 0.001
0.593 0.593 0.757
0.408 0.835 0.243
0.835 0.408 0.243
0.164 0.164 0.757

Calculated total magnetic moment (μB per formula unit), listed in the same order as above: 0.00, 0.00, 0.00, 0.00, 0.00, 0.00